[1]
A plane-wave DFT calculation with meta-GGA SCAN was carried out for a PBEsol-optimized structure of ZrTi2SiC.

Structure (extended XYZ):
```
5
Lattice="4.706 0.000 0.000 0.000 4.706 0.000 0.000 0.000 4.845" Properties=species:S:1:pos:R:3 pbc="T T T"
Ti 0.000 2.353 0.000
Ti 2.353 0.000 0.000
Si 0.000 0.000 2.422
C 2.353 2.353 2.422
Zr 0.000 0.000 0.000
```

Symmetry: No. 123
Uncorrected formation energy (eV/f.u.): 11.99

[2]
A plane-wave DFT calculation with meta-GGA SCAN was carried out for a PBEsol-optimized structure of Ti11BeO20.

Structure (extended XYZ):
```
64
Lattice="7.119 0.007 0.012 -1.942 7.391 -0.013 -0.700 -0.259 12.957" Properties=species:S:1:pos:R:3 pbc="T T T"
Ti -1.832 6.728 2.590
Ti 3.637 3.061 6.284
Ti 1.097 4.553 3.707
Ti 5.532 4.092 3.810
Ti 0.888 2.960 12.058
Ti -1.969 5.734 8.171
Ti 2.106 0.634 0.198
Ti 6.400 2.158 1.667
Ti 1.338 1.413 7.571
Ti 6.447 1.405 4.784
Ti 3.380 2.586 9.249
Ti -1.922 4.981 11.289
Ti 3.139 5.726 5.385
Ti 3.590 4.179 0.898
Ti 0.796 5.209 1.026
Ti 2.371 6.505 12.758
Ti 6.309 0.411 10.365
Ti -1.055 3.047 9.146
Ti 3.681 1.930 11.929
Ti 4.325 0.263 7.479
Ti 0.840 4.078 6.671
Ti 0.152 6.875 5.476
O 1.607 5.993 6.733
O 4.211 6.082 1.201
O -0.428 4.475 8.034
O 1.538 4.779 12.527
O -0.456 3.789 10.810
O -1.035 5.871 12.689
O 4.757 2.214 7.759
O 4.902 1.774 10.360
O 4.905 2.664 4.921
O 2.231 4.437 2.230
O 0.265 3.382 0.615
O 0.166 1.566 9.044
O 4.311 5.573 3.911
O 2.246 2.702 10.726
O 1.619 7.056 1.372
O 0.832 0.199 4.311
O 4.473 4.296 9.493
O 0.267 1.057 11.755
O 1.675 6.512 4.077
O 2.870 1.146 6.223
O 2.859 0.083 11.583
O -0.425 5.365 2.596
O 5.512 1.268 0.267
O -1.164 6.473 9.953
O -1.018 6.940 7.043
O 2.209 3.248 7.830
O 4.212 3.757 12.340
O 2.268 3.891 5.125
O 4.232 4.842 6.788
O 0.808 0.823 1.587
O 4.933 3.349 2.145
O 5.495 0.198 5.913
O -0.279 4.925 5.196
O 2.802 0.627 8.879
O 5.641 0.666 3.003
O 0.004 2.843 3.462
O 3.645 6.940 8.644
O 3.669 6.316 11.369
O 0.246 2.297 6.168
O 2.939 2.360 0.428
Be 2.333 7.246 2.798
Be 2.144 -0.107 10.157
```

Symmetry: No. 2
Uncorrected formation energy (eV/f.u.): -102.59

[3]
A plane-wave DFT calculation with meta-GGA SCAN was carried out for a PBEsol-optimized structure of Nd2CdNi2.

Structure (extended XYZ):
```
10
Lattice="-1.820 -3.267 -0.435 3.252 -2.621 6.079 -5.578 2.563 4.089" Properties=species:S:1:pos:R:3 pbc="T T T"
Ni 0.588 -0.701 2.806
Ni -2.914 0.643 7.362
Ni -3.062 1.275 3.240
Ni 0.737 -1.333 6.929
Cd -1.163 -0.029 5.084
Cd 0.000 0.000 0.000
Nd 0.305 -2.954 4.618
Nd -2.006 -2.058 7.555
Nd -2.140 -1.268 2.178
Nd -4.451 -0.371 5.115
```

Symmetry: No. 127
Formation energy (kJ/mol of atoms): -34.3